Compound: RbZrNiH2
Source: Alexandria via LeMat-Bulk
Functional: GGA-PBE
Structure: optimized geometry

abc: 4.336 4.978 4.336
angles: 90.00 90.00 90.00
Fractional coordinates of all 5 atoms:
Zr 0.000 0.000 0.000
H 0.000 0.000 0.500
H 0.500 0.000 0.000
Ni 0.000 0.500 0.000
Rb 0.500 0.500 0.500

Computed properties:
- Spin magnetization: 0.0000 μB per atom
- N(E_F): 2.84 states/eV/cell
- E: -20.18 eV/f.u.
- Calculated volume: 93.6 Å³/f.u.
- Space-group type: P4/mmm (123)